# 1
Below is crystalline HfTeRuN2 at its relaxed geometry, with properties calculated at the PBEsol level.

Results
symmetry = P4/mmm, No. 123
formation energy without anion corrections = 746 meV per atom
total magnetization = 0.0 μB per formula unit
DOS(E_F) = 3.8 states/eV/cell

Geometry as POSCAR:
```
HfTeRuN2
1.0
3.904 0.000 0.000
0.000 3.904 0.000
0.000 0.000 5.272
Hf Te Ru N
1 1 1 2
Direct
0.000 0.000 0.000
0.500 0.500 0.000
0.500 0.500 0.500
0.000 0.500 0.500
0.500 0.000 0.500
```



# 2
Below is crystalline PPt at its relaxed geometry, with properties calculated at the PBEsol level.

Results
symmetry = Fd-3m, No. 227
ΔE_f = 0.373 eV per atom
total magnetization = 0.0 μB per formula unit
DOS(E_F) = 2.4 states/eV/cell

Geometry as POSCAR:
```
PPt
1.0
0.000 3.087 3.087
3.087 0.000 3.087
3.087 3.087 0.000
P Pt
2 2
Direct
0.125 0.125 0.125
0.875 0.875 0.875
0.375 0.375 0.375
0.625 0.625 0.625
```



# 3
Below is crystalline La2TcPtBr at its relaxed geometry, with properties calculated at the PBEsol level.

Results
symmetry = P4/mmm, No. 123
formation energy without anion corrections = 257 meV per atom
total magnetization = 0.0 μB per formula unit
DOS(E_F) = 3.2 states/eV/cell

Geometry as POSCAR:
```
La2TcPtBr
1.0
5.527 0.000 0.000
0.000 5.527 0.000
0.000 0.000 4.397
La Tc Pt Br
2 1 1 1
Direct
0.000 0.500 0.000
0.500 0.000 0.000
0.000 0.000 0.500
0.500 0.500 0.500
0.000 0.000 0.000
```



# 4
Below is crystalline Mg2TlPb at its relaxed geometry, with properties calculated at the PBEsol level.

Results
symmetry = I4/mmm, No. 139
excess energy over the best structure of this formula in the dataset = 0.00 eV/f.u.
ΔE_f = -0.087 eV per atom
total magnetization = 0.0 μB per formula unit
DOS(E_F) = 1.4 states/eV/cell

Geometry as POSCAR:
```
Mg2TlPb
1.0
-2.495 2.495 3.961
2.495 -2.495 3.961
2.495 2.495 -3.961
Mg Tl Pb
2 1 1
Direct
0.250 0.750 0.500
0.750 0.250 0.500
0.000 0.000 0.000
0.500 0.500 0.000
```



# 5
Below is crystalline ZrInCl2 at its relaxed geometry, with properties calculated at the PBEsol level.

Results
symmetry = Cmmm, No. 65
excess energy over the best structure of this formula in the dataset = 1.75 eV/f.u.
formation energy without anion corrections = -397 meV per atom
total magnetization = 0.0 μB per formula unit
DOS(E_F) = 2.5 states/eV/cell

Geometry as POSCAR:
```
ZrInCl2
1.0
3.080 -4.329 0.000
3.080 4.329 0.000
0.000 0.000 3.131
Zr In Cl
1 1 2
Direct
0.000 0.000 0.000
0.500 0.500 0.000
0.000 0.500 0.500
0.500 0.000 0.500
```



# 6
Below is crystalline AsIrPt2 at its relaxed geometry, with properties calculated at the PBEsol level.

Results
symmetry = I4/mmm, No. 139
ΔE_f = 0.242 eV per atom
total magnetization = 0.0 μB per formula unit
DOS(E_F) = 6.0 states/eV/cell

Geometry as POSCAR:
```
AsIrPt2
1.0
-1.926 1.926 4.089
1.926 -1.926 4.089
1.926 1.926 -4.089
As Ir Pt
1 1 2
Direct
0.000 0.000 0.000
0.500 0.500 0.000
0.250 0.750 0.500
0.750 0.250 0.500
```



# 7
Below is crystalline RbZr2Sb2 at its relaxed geometry, with properties calculated at the PBEsol level.

Results
symmetry = I4/mmm, No. 139
formation energy without anion corrections = -411 meV per atom
total magnetization = 0.0 μB per formula unit
DOS(E_F) = 3.6 states/eV/cell

Geometry as POSCAR:
```
RbZr2Sb2
1.0
-2.340 2.340 7.249
2.340 -2.340 7.249
2.340 2.340 -7.249
Rb Zr Sb
1 2 2
Direct
0.000 0.000 0.000
0.250 0.750 0.500
0.750 0.250 0.500
0.365 0.365 0.000
0.635 0.635 0.000
```



# 8
Below is crystalline TcRhPb2 at its relaxed geometry, with properties calculated at the PBEsol level.

Results
symmetry = R-3m, No. 166
ΔE_f = 0.496 eV per atom
total magnetization = 0.0 μB per formula unit
DOS(E_F) = 4.5 states/eV/cell

Geometry as POSCAR:
```
TcRhPb2
1.0
1.622 0.936 8.244
-1.622 0.936 8.244
0.000 -1.873 8.244
Tc Rh Pb
1 1 2
Direct
0.000 0.000 0.000
0.500 0.500 0.500
0.249 0.249 0.249
0.751 0.751 0.751
```



# 9
Below is crystalline YRe2Si at its relaxed geometry, with properties calculated at the PBEsol level.

Results
symmetry = I-4m2, No. 119
formation energy without anion corrections = 255 meV per atom
total magnetization = 0.0 μB per formula unit
DOS(E_F) = 3.4 states/eV/cell

Geometry as POSCAR:
```
YRe2Si
1.0
-2.294 2.294 3.079
2.294 -2.294 3.079
2.294 2.294 -3.079
Y Re Si
1 2 1
Direct
0.000 0.000 0.000
0.500 0.500 0.000
0.750 0.250 0.500
0.250 0.750 0.500
```



# 10
Below is crystalline HfCoSn at its relaxed geometry, with properties calculated at the PBEsol level.

Results
symmetry = P-62m, No. 189
ΔE_f = -0.498 eV per atom
total magnetization = 0.0 μB per formula unit
DOS(E_F) = 2.7 states/eV/cell

Geometry as POSCAR:
```
HfCoSn
1.0
7.027 0.000 0.000
-3.513 6.085 0.000
0.000 0.000 3.505
Hf Co Sn
3 3 3
Direct
0.000 0.602 0.000
0.398 0.398 0.000
0.602 0.000 0.000
0.000 0.000 0.000
0.333 0.667 0.500
0.667 0.333 0.500
0.000 0.266 0.500
0.266 0.000 0.500
0.734 0.734 0.500
```



# 11
Below is crystalline Ca2OsAu at its relaxed geometry, with properties calculated at the PBEsol level.

Results
symmetry = Imm2, No. 44
ΔE_f = 0.139 eV per atom
total magnetization = 0.0 μB per formula unit
DOS(E_F) = 3.1 states/eV/cell

Geometry as POSCAR:
```
Ca2OsAu
1.0
-1.548 2.489 5.556
1.548 -2.489 5.556
1.548 2.489 -5.556
Ca Os Au
2 1 1
Direct
0.000 0.000 0.000
0.694 0.194 0.500
0.239 0.739 0.500
0.434 0.434 0.000
```



# 12
Below is crystalline SiAg2Ru at its relaxed geometry, with properties calculated at the PBEsol level.

Results
symmetry = R-3m, No. 166
formation energy without anion corrections = 400 meV per atom
total magnetization = 0.6 μB per formula unit
DOS(E_F) = 2.9 states/eV/cell

Geometry as POSCAR:
```
SiAg2Ru
1.0
1.387 0.801 9.033
-1.387 0.801 9.033
0.000 -1.602 9.033
Si Ag Ru
1 2 1
Direct
0.000 0.000 0.000
0.252 0.252 0.252
0.748 0.748 0.748
0.500 0.500 0.500
```